{
  "formula": "SrAlIn2",
  "functional": "GGA-PBE",
  "state": "optimized geometry",
  "magnetic_moment_mub_per_atom": 0.000,
  "space_group": "R-3m",
  "delta_e_f_mev_per_atom": -206,
  "dos_at_fermi_per_ev_atom": 0.540,
  "lattice_angstrom": [[2.374, 1.371, 5.927], [-2.374, 1.371, 5.927], [0.000, -2.742, 5.927]],
  "species": ["Sr", "Al", "In", "In"],
  "fractional_positions": [[0.000, 0.000, 0.000], [0.500, 0.500, 0.500], [0.221, 0.221, 0.221], [0.779, 0.779, 0.779]]
}